Record 1
Density functional theory data (PBE) for crystalline Ba2TaS5 at its relaxed geometry.

The structure in POSCAR format:
```
Ba2TaS5
1.0
-3.566 3.570 4.512
3.566 -3.570 4.512
3.566 3.570 -4.512
Ba Ta S
2 1 5
direct
0.000 0.000 0.000
0.500 0.500 0.000
0.704 0.204 0.500
0.457 0.957 0.500
0.527 0.027 0.033
0.527 0.494 0.500
0.994 0.027 0.500
0.994 0.494 0.967
```

Properties
- Calculated total energy: -47.34 eV per cell
- Raw formation energy: -1.375 eV/atom

---

Record 2
Density functional theory data (PBE) for crystalline UCd2Ni9 at its relaxed geometry.

The structure in POSCAR format:
```
UCd2Ni9
1.0
2.425 1.400 7.947
-2.425 1.400 7.947
0.000 -2.801 7.947
U Cd Ni
1 2 9
direct
0.000 0.000 0.000
0.144 0.144 0.144
0.856 0.856 0.856
0.081 0.583 0.583
0.334 0.334 0.334
0.417 0.417 0.919
0.417 0.919 0.417
0.500 0.500 0.500
0.583 0.081 0.583
0.583 0.583 0.081
0.666 0.666 0.666
0.919 0.417 0.417
```

Properties
- Calculated formation energy: -2.9 kcal/mol of atoms
- Calculated total energy: -66.65 eV per cell

---

Record 3
Density functional theory data (PBE) for crystalline CdRh2F8 at its relaxed geometry.

The structure in POSCAR format:
```
CdRh2F8
1.0
6.943 0.000 0.000
-3.472 6.013 0.000
0.000 0.000 4.126
Cd Rh F
1 2 8
direct
0.000 0.000 0.000
0.333 0.667 0.251
0.667 0.333 0.749
0.165 0.833 0.258
0.167 0.332 0.258
0.332 0.165 0.742
0.333 0.667 0.751
0.667 0.333 0.249
0.668 0.835 0.258
0.833 0.668 0.742
0.835 0.167 0.742
```

Properties
- Calculated total energy: -45.74 eV per cell
- Raw formation energy: -1.377 eV/atom

---

Record 4
Density functional theory data (PBE) for crystalline Na3YH6C3O12 at its relaxed geometry.

The structure in POSCAR format:
```
Na3YH6C3O12
1.0
17.484 0.000 0.000
0.000 10.128 0.000
0.000 0.000 5.978
Na Y H C O
12 4 24 12 48
direct
0.047 0.128 0.000
0.078 0.520 0.000
0.139 0.362 0.507
0.361 0.862 0.007
0.422 0.020 0.500
0.453 0.628 0.500
0.547 0.372 0.000
0.578 0.980 0.000
0.639 0.138 0.507
0.861 0.638 0.007
0.922 0.480 0.500
0.953 0.872 0.500
0.163 0.827 0.724
0.337 0.327 0.224
0.663 0.673 0.724
0.837 0.173 0.224
0.012 0.804 0.968
0.070 0.772 0.170
0.180 0.991 0.173
0.217 0.076 0.976
0.235 0.718 0.176
0.237 0.125 0.477
0.263 0.625 0.977
0.265 0.218 0.676
0.283 0.576 0.476
0.320 0.491 0.673
0.430 0.272 0.670
0.488 0.304 0.468
0.512 0.696 0.968
0.570 0.728 0.170
0.680 0.509 0.173
0.717 0.424 0.976
0.735 0.782 0.176
0.737 0.375 0.477
0.763 0.875 0.977
0.765 0.282 0.676
0.783 0.924 0.476
0.820 0.009 0.673
0.930 0.228 0.670
0.988 0.196 0.468
0.082 0.622 0.496
0.099 0.056 0.502
0.193 0.313 0.002
0.307 0.813 0.502
0.401 0.556 0.002
0.418 0.122 0.996
0.582 0.878 0.496
0.599 0.444 0.502
0.693 0.187 0.002
0.807 0.687 0.502
0.901 0.944 0.002
0.918 0.378 0.996
0.049 0.531 0.383
0.062 0.000 0.664
0.066 0.775 0.002
0.071 0.749 0.450
0.075 0.158 0.396
0.128 0.596 0.660
0.130 0.307 0.893
0.166 0.002 0.450
0.187 0.994 0.007
0.204 0.392 0.169
0.233 0.707 0.009
0.248 0.736 0.449
0.252 0.236 0.949
0.267 0.207 0.509
0.296 0.892 0.669
0.313 0.494 0.507
0.334 0.502 0.950
0.370 0.807 0.393
0.372 0.096 0.160
0.425 0.658 0.896
0.429 0.249 0.950
0.434 0.275 0.502
0.438 0.500 0.164
0.451 0.031 0.883
0.549 0.969 0.383
0.562 0.500 0.664
0.566 0.725 0.002
0.571 0.751 0.450
0.575 0.342 0.396
0.628 0.904 0.660
0.630 0.193 0.893
0.666 0.498 0.450
0.687 0.506 0.007
0.704 0.108 0.169
0.733 0.793 0.009
0.748 0.764 0.449
0.752 0.264 0.949
0.767 0.293 0.509
0.796 0.608 0.669
0.813 0.006 0.507
0.834 0.998 0.950
0.870 0.693 0.393
0.872 0.404 0.160
0.925 0.842 0.896
0.929 0.251 0.950
0.934 0.225 0.502
0.938 0.000 0.164
0.951 0.469 0.883
```

Properties
- Calculated total energy: -636.99 eV per cell